This record from Alexandria via LeMat-Bulk describes an optimized crystal structure of ErReBrO4. The functional is PBE.

Final energy in hartree per atom: -0.2782
DOS at the Fermi energy in states/eV/f.u.: 2.1
Total magnetic moment in μB/cell: 2.00
Crystal system: monoclinic

a b c (Å): 6.3673 6.3673 6.9560
angles (deg): 102.95 102.95 66.72
Sites, in units of the cell vectors:
Er  0.2263  0.2263  0.1011
Er  0.7737  0.7737  0.8989
Re  0.3687  0.3687  0.7187
Re  0.6313  0.6313  0.2813
Br  0.0059  0.0059  0.7548
Br  0.9941  0.9941  0.2452
O  0.1174  0.4787  0.8560
O  0.2945  0.2945  0.4608
O  0.4599  0.4599  0.2066
O  0.4787  0.1174  0.8560
O  0.5213  0.8826  0.1440
O  0.5401  0.5401  0.7934
O  0.7055  0.7055  0.5392
O  0.8826  0.5213  0.1440